A relaxed La3YB2N6 crystal. Source: Alexandria via LeMat-Bulk, functional PBE.

**Raw formation energy**: -1.2486 eV per atom
**N(E_F)**: 0.01 states/eV/f.u.
**Space-group type**: P-3m1 (164)

```
La3YB2N6
1.0
5.657 0.000 0.000
-2.829 4.899 0.000
0.000 0.000 6.471
Y La N B
1 3 6 2
Direct
0.000 0.000 0.500
0.333 0.667 0.670
0.000 0.000 0.000
0.667 0.333 0.330
0.815 0.631 0.724
0.369 0.185 0.724
0.631 0.815 0.276
0.815 0.185 0.724
0.185 0.369 0.276
0.185 0.815 0.276
0.333 0.667 0.254
0.667 0.333 0.746
```